1.
Computed, not measured: a relaxed CoNi2Pd crystal at the PBE level of DFT.

a = 6.525 Å, b = 6.525 Å, c = 5.250 Å
α = 51.58°, β = 51.58°, γ = 90.00°
Last column: magnetic moment on the atom in μB.
Sites, in units of the cell vectors:
1 Pd 0.000 0.000 0.000  0.18
2 Pd 0.750 0.250 0.500  0.18
3 Co 0.500 0.500 0.000  1.88
4 Co 0.250 0.750 0.500  1.86
5 Ni 0.375 0.406 0.750  0.80
6 Ni 0.594 0.125 0.250  0.80
7 Ni 0.156 0.625 0.250  0.78
8 Ni 0.875 0.844 0.750  0.78

Results
Formation energy from the elements (kJ per mole of atoms): 40.93
SG: I-42d, No. 122
Offset from the most stable computed form (meV per atom): 403
Crystal system: tetragonal

***

2.
Computed, not measured: a relaxed Co3NiPd6 crystal at the PBE level of DFT.

a = 6.633 Å, b = 6.633 Å, c = 5.503 Å
α = 52.94°, β = 52.94°, γ = 60.00°
Last column: magnetic moment on the atom in μB.
Sites, in units of the cell vectors:
1 Pd 0.990 0.510 0.248  0.32
2 Pd 0.011 0.486 0.752  0.33
3 Pd 0.252 0.990 0.248  0.32
4 Pd 0.510 0.252 0.248  0.32
5 Pd 0.751 0.011 0.752  0.33
6 Pd 0.486 0.751 0.752  0.33
7 Co 0.410 0.410 0.770  2.04
8 Co 0.092 0.092 0.723  2.08
9 Co 0.591 0.591 0.226  2.03
10 Ni 0.907 0.907 0.279  0.90

Results
Formation energy from the elements (kJ per mole of atoms): 26.83
SG: R3, No. 146
Crystal system: trigonal

***

3.
Computed, not measured: a relaxed CoNi2Pd crystal at the PBE level of DFT.

a = 4.115 Å, b = 4.115 Å, c = 4.115 Å
α = 60.00°, β = 60.00°, γ = 60.00°
Last column: magnetic moment on the atom in μB.
Sites, in units of the cell vectors:
1 Co 0.000 0.000 0.000  1.93
2 Ni 0.250 0.250 0.250  0.65
3 Ni 0.750 0.750 0.750  0.65
4 Pd 0.500 0.500 0.500  0.15

Results
Formation energy from the elements (kJ per mole of atoms): 13.65
SG: Fm-3m, No. 225
Offset from the most stable computed form (meV per atom): 121
Crystal system: cubic